The following is a DFT calculation (PBE-GGA) of a relaxed structure of AcScTe.

Structure (POSCAR):
```
AcScTe
1.0
4.211 0.000 0.000
0.000 5.111 0.000
0.000 -2.556 4.427
Ac Te Sc
1 1 1
Direct
0.667 0.667 0.333
0.167 0.333 0.667
0.167 0.000 0.000
```

## Properties
The uncorrected formation energy is -0.590 eV per atom. As for the density of states at the Fermi level: 5.12 states/eV per cell. Its crystal system is hexagonal. For the energy above the most stable polymorph in this dataset, the calculation gives 0.39 eV/f.u.

---

The following is a DFT calculation (PBE-GGA) of a relaxed structure of Ac3ScTe6.

Structure (POSCAR):
```
Ac3ScTe6
1.0
-5.072 -4.248 4.247
5.950 1.181 8.287
-6.246 8.125 0.669
Ac Sc Te
6 2 12
Direct
0.982 0.081 0.282
0.482 0.282 0.081
0.482 0.919 0.718
0.894 0.600 0.400
0.394 0.400 0.600
0.982 0.718 0.919
0.022 0.198 0.802
0.522 0.802 0.198
0.197 0.432 0.902
0.697 0.902 0.432
0.187 0.365 0.309
0.187 0.691 0.635
0.172 0.037 0.963
0.687 0.309 0.365
0.672 0.963 0.037
0.166 0.776 0.224
0.697 0.568 0.098
0.666 0.224 0.776
0.687 0.635 0.691
0.197 0.098 0.568
```

## Properties
The uncorrected formation energy is -1.445 eV per atom. Its crystal system is orthorhombic. For the energy above the most stable polymorph in this dataset, the calculation gives 0.05 eV/f.u.

---

The following is a DFT calculation (PBE-GGA) of a relaxed structure of Ac2Sc2Te5.

Structure (POSCAR):
```
Ac2Sc2Te5
1.0
5.634 0.000 0.000
-2.817 7.515 -1.500
0.000 -2.426 8.018
Te Ac Sc
5 2 2
Direct
0.000 0.000 0.000
0.143 0.286 0.530
0.633 0.267 0.881
0.367 0.733 0.119
0.857 0.714 0.470
0.387 0.774 0.724
0.613 0.226 0.276
0.843 0.686 0.118
0.157 0.314 0.882
```

## Properties
The uncorrected formation energy is -1.266 eV per atom. As for the density of states at the Fermi level: 5.38 states/eV per cell. Its crystal system is monoclinic.

---

The following is a DFT calculation (PBE-GGA) of a relaxed structure of Ac4ScTe7.

Structure (POSCAR):
```
Ac4ScTe7
1.0
-2.800 -0.193 -3.598
7.364 -1.524 -2.755
-4.136 -11.715 3.848
Te Ac Sc
7 4 1
Direct
0.289 0.578 0.658
0.045 0.090 0.735
0.726 0.452 0.370
0.667 0.335 0.054
0.349 0.698 0.958
0.447 0.893 0.468
0.973 0.946 0.221
0.008 0.016 0.984
0.101 0.202 0.465
0.314 0.627 0.214
0.712 0.424 0.808
0.869 0.739 0.565
```

## Properties
The uncorrected formation energy is -1.489 eV per atom. As for the density of states at the Fermi level: 3.94 states/eV per cell. Its crystal system is monoclinic.

---

The following is a DFT calculation (PBE-GGA) of a relaxed structure of AcSc4Te8.

Structure (POSCAR):
```
AcSc4Te8
1.0
8.771 0.000 0.000
4.385 7.596 0.000
4.385 2.532 7.161
Te Sc Ac
8 4 1
Direct
0.130 0.130 0.609
0.609 0.130 0.130
0.186 0.605 0.605
0.605 0.605 0.605
0.605 0.605 0.186
0.130 0.609 0.130
0.605 0.186 0.605
0.130 0.130 0.130
0.365 0.906 0.365
0.365 0.365 0.906
0.365 0.365 0.365
0.906 0.365 0.365
0.750 0.750 0.750
```

## Properties
The uncorrected formation energy is -1.091 eV per atom. As for the density of states at the Fermi level: 10.04 states/eV per cell. Its crystal system is cubic.

---

The following is a DFT calculation (PBE-GGA) of a relaxed structure of AcScTe.

Structure (POSCAR):
```
AcScTe
1.0
-0.123 3.889 0.218
-0.396 -0.230 3.870
6.384 -1.671 -1.408
Sc Te Ac
1 1 1
Direct
0.303 0.303 0.607
0.702 0.702 0.404
0.995 0.995 0.989
```

## Properties
The uncorrected formation energy is -0.721 eV per atom. As for the density of states at the Fermi level: 4.70 states/eV per cell. Its crystal system is tetragonal. For the energy above the most stable polymorph in this dataset, the calculation gives 0.00 eV/f.u.

---

The following is a DFT calculation (PBE-GGA) of a relaxed structure of Ac2ScTe.

Structure (POSCAR):
```
Ac2ScTe
1.0
-1.467 -3.652 -1.378
1.885 0.626 -3.666
6.675 -3.736 2.794
Ac Te Sc
2 1 1
Direct
0.000 0.000 0.742
0.000 0.000 0.258
0.500 0.500 0.500
0.500 0.500 0.000
```

## Properties
The uncorrected formation energy is -0.505 eV per atom. As for the density of states at the Fermi level: 4.93 states/eV per cell. Its crystal system is tetragonal. For the energy above the most stable polymorph in this dataset, the calculation gives 0.00 eV/f.u.

---

The following is a DFT calculation (PBE-GGA) of a relaxed structure of Ac3ScTe6.

Structure (POSCAR):
```
Ac3ScTe6
1.0
-5.723 -6.818 -2.765
-0.222 -1.645 9.172
-6.054 7.082 -0.280
Ac Te Sc
6 12 2
Direct
0.288 0.115 0.630
0.630 0.288 0.115
0.712 0.885 0.370
0.885 0.370 0.712
0.370 0.712 0.885
0.115 0.630 0.288
0.936 0.027 0.688
0.027 0.688 0.936
0.430 0.560 0.194
0.570 0.440 0.806
0.688 0.936 0.027
0.440 0.806 0.570
0.312 0.064 0.973
0.560 0.194 0.430
0.194 0.430 0.560
0.806 0.570 0.440
0.064 0.973 0.312
0.973 0.312 0.064
0.000 0.000 0.000
0.500 0.500 0.500
```

## Properties
The uncorrected formation energy is -1.451 eV per atom. Its crystal system is trigonal. For the energy above the most stable polymorph in this dataset, the calculation gives 0.00 eV/f.u.

---

The following is a DFT calculation (PBE-GGA) of a relaxed structure of Ac5ScTe8.

Structure (POSCAR):
```
Ac5ScTe8
1.0
8.102 0.000 -2.741
-4.064 6.942 -2.906
0.025 0.000 8.553
Te Ac Sc
8 5 1
Direct
0.276 0.260 0.398
0.777 0.249 0.371
0.138 0.740 0.016
0.629 0.406 0.878
0.122 0.751 0.528
0.602 0.878 0.862
0.984 0.122 0.724
0.472 0.594 0.223
0.500 0.000 0.500
0.753 0.626 0.628
0.003 0.374 0.128
0.372 0.125 0.997
0.872 0.875 0.247
0.250 0.500 0.750
```

## Properties
The uncorrected formation energy is -1.461 eV per atom. As for the density of states at the Fermi level: 10.15 states/eV per cell. Its crystal system is tetragonal.

---

The following is a DFT calculation (PBE-GGA) of a relaxed structure of AcScTe.

Structure (POSCAR):
```
AcScTe
1.0
-7.020 5.495 -0.905
-0.539 0.240 6.386
2.548 6.802 2.337
Te Sc Ac
4 4 4
Direct
0.560 0.293 0.687
0.282 0.555 0.354
0.891 0.608 0.780
0.871 0.899 0.202
0.781 0.006 0.849
0.485 0.466 0.012
0.435 0.948 0.057
0.141 0.690 0.009
0.765 0.381 0.244
0.169 0.269 0.832
0.124 0.047 0.405
0.501 0.839 0.568
```

## Properties
The uncorrected formation energy is -0.684 eV per atom. As for the density of states at the Fermi level: 12.91 states/eV per cell. Its crystal system is triclinic. For the energy above the most stable polymorph in this dataset, the calculation gives 0.11 eV/f.u.